Entry 1:
SmScGa2Rh2 | PBE | optimized geometry

The space group is P-3m1 (No. 164) and the conventional cell measures 4.3799, 4.3799 and 6.8377 Å, with angles of 90.00, 90.00 and 120.00 degrees. Symmetry generates all atoms from Sm at (0.0000, 0.0000, 0.0000), Sc at (0.0000, 0.0000, 0.5000), Ga at (0.3333, 0.6667, 0.2673) and Rh at (0.3333, 0.6667, 0.6524).

For the total energy, the calculation gives -36.93 eV/cell. Its formation energy from the elements is -0.8534 eV/atom. As for the calculated volume: 114 Å³/f.u.

Entry 2:
SmScGaRh | PBE | optimized geometry

The space group is F-43m (No. 216) and the conventional cell measures 6.9057, 6.9057 and 6.9057 Å, with angles of 90.00, 90.00 and 90.00 degrees. Symmetry generates all atoms from Sm at (0.0000, 0.0000, 0.0000), Sc at (0.0000, 0.0000, 0.5000), Ga at (0.2500, 0.2500, 0.7500) and Rh at (0.2500, 0.2500, 0.2500).

For the total energy, the calculation gives -95.78 eV/cell. Its formation energy from the elements is -0.6292 eV/atom. As for the calculated volume: 82 Å³/f.u.

Entry 3:
Sm2ScGa2Rh5 | PBE | optimized geometry

The space group is P4/mbm (No. 127) and the conventional cell measures 10.0587, 10.0587 and 3.5374 Å, with angles of 90.00, 90.00 and 90.00 degrees. Symmetry generates all atoms from Sm at (0.1738, 0.3262, 0.0000), Sc at (0.0000, 0.0000, 0.0000), Ga at (0.1237, 0.6237, 0.0000), Rh at (0.0000, 0.5000, 0.5000) and Rh at (0.0679, 0.7923, 0.5000).

For the total energy, the calculation gives -133.24 eV/cell. Its formation energy from the elements is -0.8040 eV/atom. As for the calculated volume: 179 Å³/f.u.

Entry 4:
Sc2GaSnRh4 | PBE | optimized geometry

The space group is R-3m (No. 166, hexagonal axes) and the conventional cell measures 4.4866, 4.4866 and 22.0140 Å, with angles of 90.00, 90.00 and 120.00 degrees. Symmetry generates all atoms from Sc at (0.0000, 0.0000, 0.2478), Ga at (0.0000, 0.0000, 0.5000), Sn at (0.0000, 0.0000, 0.0000), Rh at (0.0000, 0.0000, 0.1267) and Rh at (0.0000, 0.0000, 0.3777).

For the total energy, the calculation gives -169.29 eV/cell. Its formation energy from the elements is -0.9166 eV/atom. As for the calculated volume: 128 Å³/f.u.

Entry 5:
TbScGa2Rh2 | PBE | optimized geometry

The space group is P-3m1 (No. 164) and the conventional cell measures 4.3804, 4.3804 and 6.6650 Å, with angles of 90.00, 90.00 and 120.00 degrees. Symmetry generates all atoms from Tb at (0.0000, 0.0000, 0.0000), Sc at (0.0000, 0.0000, 0.5000), Ga at (0.3333, 0.6667, 0.2628) and Rh at (0.3333, 0.6667, 0.6588).

For the total energy, the calculation gives -36.83 eV/cell. Its formation energy from the elements is -0.8523 eV/atom. As for the calculated volume: 111 Å³/f.u.

Entry 6:
Tb2ScGa2Rh5 | PBE | optimized geometry

The space group is P4/mbm (No. 127) and the conventional cell measures 9.9891, 9.9891 and 3.5178 Å, with angles of 90.00, 90.00 and 90.00 degrees. Symmetry generates all atoms from Tb at (0.1731, 0.3269, 0.0000), Sc at (0.0000, 0.0000, 0.0000), Ga at (0.1245, 0.6245, 0.0000), Rh at (0.0000, 0.5000, 0.5000) and Rh at (0.0686, 0.7932, 0.5000).

For the total energy, the calculation gives -133.66 eV/cell. Its formation energy from the elements is -0.8429 eV/atom. As for the calculated volume: 176 Å³/f.u.

Entry 7:
Tb2ScGa3Rh4 | PBE | optimized geometry

The space group is P-4m2 (No. 115) and the conventional cell measures 4.1836, 4.1836 and 10.7449 Å, with angles of 90.00, 90.00 and 90.00 degrees. Symmetry generates all atoms from Tb at (0.0000, 0.5000, 0.2258), Sc at (0.0000, 0.0000, 0.5000), Ga at (0.0000, 0.5000, 0.8770), Ga at (0.5000, 0.5000, 0.5000), Rh at (0.0000, 0.0000, 0.0000), Rh at (0.0000, 0.5000, 0.6468) and Rh at (0.5000, 0.5000, 0.0000).

For the total energy, the calculation gives -62.36 eV/cell. Its formation energy from the elements is -0.8278 eV/atom. As for the calculated volume: 188 Å³/f.u.

Entry 8:
Th2ScGa3Rh4 | PBE | optimized geometry

The space group is P-4m2 (No. 115) and the conventional cell measures 4.2087, 4.2087 and 10.8917 Å, with angles of 90.00, 90.00 and 90.00 degrees. Symmetry generates all atoms from Th at (0.0000, 0.5000, 0.2297), Sc at (0.0000, 0.0000, 0.5000), Ga at (0.0000, 0.5000, 0.8785), Ga at (0.5000, 0.5000, 0.5000), Rh at (0.0000, 0.0000, 0.0000), Rh at (0.0000, 0.5000, 0.6497) and Rh at (0.5000, 0.5000, 0.0000).

For the total energy, the calculation gives -67.96 eV/cell. Its formation energy from the elements is -0.8299 eV/atom. As for the calculated volume: 193 Å³/f.u.

Entry 9:
ScTiGaRh2 | PBE | optimized geometry

The space group is P4/mmm (No. 123) and the conventional cell measures 4.5086, 4.5086 and 5.0161 Å, with angles of 90.00, 90.00 and 90.00 degrees. Symmetry generates all atoms from Sc at (0.0000, 0.0000, 0.0000), Ti at (0.0000, 0.0000, 0.5000), Ga at (0.5000, 0.5000, 0.0000) and Rh at (0.0000, 0.5000, 0.5000).

For the total energy, the calculation gives -30.04 eV/cell. Its formation energy from the elements is 0.3838 eV/atom. As for the calculated volume: 102 Å³/f.u.

Entry 10:
TmSc2GaRh4 | PBE | optimized geometry

The space group is R-3m (No. 166, hexagonal axes) and the conventional cell measures 4.5417, 4.5417 and 22.3380 Å, with angles of 90.00, 90.00 and 120.00 degrees. Symmetry generates all atoms from Tm at (0.0000, 0.0000, 0.0000), Sc at (0.0000, 0.0000, 0.2439), Ga at (0.0000, 0.0000, 0.5000), Rh at (0.0000, 0.0000, 0.1265) and Rh at (0.0000, 0.0000, 0.3791).

For the total energy, the calculation gives -171.53 eV/cell. Its formation energy from the elements is -0.9512 eV/atom. As for the calculated volume: 133 Å³/f.u.

Entry 11:
TmScGaRh | PBE | optimized geometry

The space group is Pmmm (No. 47) and the conventional cell measures 3.4494, 4.6407 and 4.8106 Å, with angles of 90.00, 90.00 and 90.00 degrees. Symmetry generates all atoms from Tm at (0.0000, 0.0000, 0.0000), Sc at (0.0000, 0.5000, 0.5000), Ga at (0.5000, 0.0000, 0.5000) and Rh at (0.5000, 0.5000, 0.0000).

For the total energy, the calculation gives -24.21 eV/cell. The calculation puts the distance to the lowest polymorph of the same formula at 0.0000 eV per atom. Its formation energy from the elements is -0.7580 eV/atom. As for the calculated volume: 77 Å³/f.u.

Entry 12:
TmScGaRh | PBE | optimized geometry

The space group is F-43m (No. 216) and the conventional cell measures 6.7668, 6.7668 and 6.7668 Å, with angles of 90.00, 90.00 and 90.00 degrees. Symmetry generates all atoms from Tm at (0.0000, 0.0000, 0.0000), Sc at (0.0000, 0.0000, 0.5000), Ga at (0.2500, 0.2500, 0.2500) and Rh at (0.2500, 0.2500, 0.7500).

For the total energy, the calculation gives -96.49 eV/cell. The calculation puts the distance to the lowest polymorph of the same formula at 0.0229 eV per atom. Its formation energy from the elements is -0.7351 eV/atom. As for the calculated volume: 77 Å³/f.u.

Entry 13:
Sc4ZnGa2Rh | PBE | optimized geometry

The space group is R-3m (No. 166, hexagonal axes) and the conventional cell measures 4.7015, 4.7015 and 22.9646 Å, with angles of 90.00, 90.00 and 120.00 degrees. Symmetry generates all atoms from Sc at (0.0000, 0.0000, 0.1224), Sc at (0.0000, 0.0000, 0.3729), Zn at (0.0000, 0.0000, 0.5000), Ga at (0.0000, 0.0000, 0.2480) and Rh at (0.0000, 0.0000, 0.0000).

For the total energy, the calculation gives -135.75 eV/cell. Its formation energy from the elements is -0.6557 eV/atom. As for the calculated volume: 147 Å³/f.u.

Entry 14:
Sc4ZnGaRh2 | PBE | optimized geometry

The space group is R-3m (No. 166, hexagonal axes) and the conventional cell measures 4.6573, 4.6573 and 22.7848 Å, with angles of 90.00, 90.00 and 120.00 degrees. Symmetry generates all atoms from Sc at (0.0000, 0.0000, 0.1244), Sc at (0.0000, 0.0000, 0.3742), Zn at (0.0000, 0.0000, 0.0000), Ga at (0.0000, 0.0000, 0.5000) and Rh at (0.0000, 0.0000, 0.2497).

For the total energy, the calculation gives -150.53 eV/cell. Its formation energy from the elements is -0.7307 eV/atom. As for the calculated volume: 143 Å³/f.u.

Entry 15:
Sc4Zn2GaRh | PBE | optimized geometry

The space group is R-3m (No. 166, hexagonal axes) and the conventional cell measures 4.6898, 4.6898 and 22.9887 Å, with angles of 90.00, 90.00 and 120.00 degrees. Symmetry generates all atoms from Sc at (0.0000, 0.0000, 0.1223), Sc at (0.0000, 0.0000, 0.3727), Zn at (0.0000, 0.0000, 0.2491), Ga at (0.0000, 0.0000, 0.5000) and Rh at (0.0000, 0.0000, 0.0000).

For the total energy, the calculation gives -129.28 eV/cell. Its formation energy from the elements is -0.6053 eV/atom. As for the calculated volume: 146 Å³/f.u.

Entry 16:
GaRhSe3 | PBE | optimized geometry

The space group is Pm-3m (No. 221) and the conventional cell measures 4.8837, 4.8837 and 4.8837 Å, with angles of 90.00, 90.00 and 90.00 degrees. Symmetry generates all atoms from Ga at (0.0000, 0.0000, 0.0000), Rh at (0.5000, 0.5000, 0.5000) and Se at (0.0000, 0.0000, 0.5000).

Its uncorrected formation energy is 776 meV per atom. For the total energy, the calculation gives -16.95 eV/cell. As for the calculated volume: 116 Å³/f.u.

Entry 17:
GaRhSe2 | PBE | optimized geometry

The space group is I-42d (No. 122) and the conventional cell measures 5.7633, 5.7633 and 11.3725 Å, with angles of 90.00, 90.00 and 90.00 degrees. Symmetry generates all atoms from Ga at (0.0000, 0.0000, 0.0000), Rh at (0.0000, 0.0000, 0.5000) and Se at (0.2324, 0.2500, 0.6250).

Its uncorrected formation energy is -250 meV per atom. For the total energy, the calculation gives -73.38 eV/cell. As for the calculated volume: 94 Å³/f.u.

Entry 18:
GaRh2Se | PBE | optimized geometry

The space group is I-42d (No. 122) and the conventional cell measures 4.1201, 4.1201 and 16.0912 Å, with angles of 90.00, 90.00 and 90.00 degrees. Symmetry generates all atoms from Ga at (0.0000, 0.0000, 0.0000), Rh at (0.2290, 0.2500, 0.6250) and Se at (0.0000, 0.0000, 0.5000).

Its uncorrected formation energy is -179 meV per atom. For the total energy, the calculation gives -87.72 eV/cell. As for the calculated volume: 68 Å³/f.u.

Entry 19:
Ga2RhSe | PBE | optimized geometry

The space group is I-42d (No. 122) and the conventional cell measures 5.9698, 5.9698 and 10.6184 Å, with angles of 90.00, 90.00 and 90.00 degrees. Symmetry generates all atoms from Ga at (0.2258, 0.2500, 0.1250), Rh at (0.0000, 0.0000, 0.0000) and Se at (0.0000, 0.0000, 0.5000).

Its uncorrected formation energy is -118 meV per atom. For the total energy, the calculation gives -69.44 eV/cell. As for the calculated volume: 95 Å³/f.u.

Entry 20:
GaRhSe3 | PBE | optimized geometry

The space group is Pm-3m (No. 221) and the conventional cell measures 4.9486, 4.9486 and 4.9486 Å, with angles of 90.00, 90.00 and 90.00 degrees. Symmetry generates all atoms from Ga at (0.0000, 0.0000, 0.0000), Rh at (0.5000, 0.5000, 0.5000) and Se at (0.0000, 0.5000, 0.5000).

Its uncorrected formation energy is 260 meV per atom. For the total energy, the calculation gives -19.53 eV/cell. As for the calculated volume: 121 Å³/f.u.

Entry 21:
GaRhSe3 | PBE | optimized geometry

The space group is P2_1/m (No. 11) and the conventional cell measures 6.4255, 3.8095 and 10.1765 Å, with angles of 90.00, 98.66 and 90.00 degrees. Symmetry generates all atoms from Ga at (0.0186, 0.2500, 0.2473), Rh at (0.4592, 0.2500, 0.8350), Se at (0.1494, 0.2500, 0.6547), Se at (0.2914, 0.7500, 0.9438) and Se at (0.3943, 0.2500, 0.2860).

Its uncorrected formation energy is -463 meV per atom. For the total energy, the calculation gives -46.30 eV/cell. As for the calculated volume: 123 Å³/f.u.

Entry 22:
GaRhSe2 | PBE | optimized geometry

The space group is R-3m (No. 166, hexagonal axes) and the conventional cell measures 3.7541, 3.7541 and 23.8741 Å, with angles of 90.00, 90.00 and 120.00 degrees. Symmetry generates all atoms from Ga at (0.0000, 0.0000, 0.0000), Rh at (0.0000, 0.0000, 0.5000) and Se at (0.0000, 0.0000, 0.1145).

Its uncorrected formation energy is -197 meV per atom. For the total energy, the calculation gives -54.40 eV/cell. As for the calculated volume: 97 Å³/f.u.

Entry 23:
GaRh2Se4 | PBE | optimized geometry

The space group is R-3m (No. 166, hexagonal axes) and the conventional cell measures 7.5788, 7.5788 and 18.5635 Å, with angles of 90.00, 90.00 and 120.00 degrees. Symmetry generates all atoms from Ga at (0.0000, 0.0000, 0.1252), Rh at (0.0000, 0.0000, 0.5000), Rh at (0.0000, 0.5000, 0.0000), Se at (0.0000, 0.0000, 0.2662) and Se at (0.0427, 0.5213, 0.2554).

Its uncorrected formation energy is -463 meV per atom. For the total energy, the calculation gives -209.45 eV/cell. As for the calculated volume: 154 Å³/f.u.

Entry 24:
GaTeRh2Se | PBE | optimized geometry

The space group is P4/mmm (No. 123) and the conventional cell measures 4.8897, 4.8897 and 5.4881 Å, with angles of 90.00, 90.00 and 90.00 degrees. Symmetry generates all atoms from Ga at (0.0000, 0.0000, 0.0000), Te at (0.5000, 0.5000, 0.5000), Rh at (0.0000, 0.5000, 0.5000) and Se at (0.5000, 0.5000, 0.0000).

Its uncorrected formation energy is 726 meV per atom. For the total energy, the calculation gives -20.73 eV/cell. As for the calculated volume: 131 Å³/f.u.